1.
# In2SiSb, relaxed, DFT PBE
# Formation energy (no corrections) = 240 meV per atom
# Energy relative to the lowest polymorph listed for this composition = 0.076 eV per atom
data_In2SiSb
_chemical_formula_sum 'In4 Si2 Sb2'
_cell_length_a 3.865
_cell_length_b 4.177
_cell_length_c 12.945
_cell_angle_alpha 90.00
_cell_angle_beta 90.00
_cell_angle_gamma 90.00
_space_group_name_H-M_alt 'I m m m'
_space_group_IT_number 71
_space_group_name_Hall '-I 2 2'
loop_
_atom_site_label
_atom_site_fract_x
_atom_site_fract_y
_atom_site_fract_z
In1 0.000 0.000 0.190
Si1 0.000 0.500 0.500
Sb1 0.000 0.500 0.000

***

2.
# LiMg, relaxed, DFT PBE
# Formation energy from the elements = 0.06 eV per atom
data_LiMg
_chemical_formula_sum 'Li2 Mg2'
_cell_length_a 3.0766
_cell_length_b 3.0766
_cell_length_c 10.6797
_cell_angle_alpha 90.00
_cell_angle_beta 90.00
_cell_angle_gamma 120.00
_space_group_name_H-M_alt 'P 63 m c'
_space_group_IT_number 186
_space_group_name_Hall 'P 6c -2c'
loop_
_atom_site_label
_atom_site_fract_x
_atom_site_fract_y
_atom_site_fract_z
Li1 0.3333 0.6667 0.0000
Mg1 0.3333 0.6667 0.2669

***

3.
# Pr2NdPb, relaxed, DFT PBE
# Formation energy from the elements = -0.34 eV per atom
# Energy relative to the lowest polymorph listed for this composition = 0.000 eV per atom
data_Pr2NdPb
_chemical_formula_sum 'Pr2 Nd1 Pb1'
_cell_length_a 5.015
_cell_length_b 5.015
_cell_length_c 5.036
_cell_angle_alpha 90.00
_cell_angle_beta 90.00
_cell_angle_gamma 90.00
_space_group_name_H-M_alt 'P 4/m m m'
_space_group_IT_number 123
_space_group_name_Hall '-P 4 2'
loop_
_atom_site_label
_atom_site_fract_x
_atom_site_fract_y
_atom_site_fract_z
Pr1 0.000 0.500 0.000
Nd1 0.000 0.000 0.500
Pb1 0.500 0.500 0.500

***

4.
# Zr2TiPbC, relaxed, DFT PBE
# Formation energy from the elements = -0.42 eV per atom
data_Zr2TiPbC
_chemical_formula_sum 'Zr2 Ti1 Pb1 C1'
_cell_length_a 4.667
_cell_length_b 4.667
_cell_length_c 4.201
_cell_angle_alpha 90.00
_cell_angle_beta 90.00
_cell_angle_gamma 90.00
_space_group_name_H-M_alt 'P 4/m m m'
_space_group_IT_number 123
_space_group_name_Hall '-P 4 2'
loop_
_atom_site_label
_atom_site_fract_x
_atom_site_fract_y
_atom_site_fract_z
Zr1 0.000 0.500 0.000
Ti1 0.000 0.000 0.500
Pb1 0.500 0.500 0.500
C1 0.000 0.000 0.000

***

5.
# PrDyAg4, relaxed, DFT PBE
# Formation energy from the elements = -0.27 eV per atom
# Energy relative to the lowest polymorph listed for this composition = 0.000 eV per atom
data_PrDyAg4
_chemical_formula_sum 'Pr2 Dy2 Ag8'
_cell_length_a 5.377
_cell_length_b 9.472
_cell_length_c 5.369
_cell_angle_alpha 90.00
_cell_angle_beta 90.07
_cell_angle_gamma 90.00
_space_group_name_H-M_alt 'C 1 2/m 1'
_space_group_IT_number 12
loop_
_space_group_symop_operation_xyz
'x,y,z'
'-x,-y,-z'
'-x,y,-z'
'x,-y,z'
'x+1/2,y+1/2,z'
'-x+1/2,-y+1/2,-z'
'-x+1/2,y+1/2,-z'
'x+1/2,-y+1/2,z'
loop_
_atom_site_label
_atom_site_fract_x
_atom_site_fract_y
_atom_site_fract_z
Pr1 0.000 0.000 0.000
Dy1 0.000 0.500 0.500
Ag1 0.000 0.176 0.500
Ag2 0.000 0.331 0.000

***

6.
# SmPd3Pt2, relaxed, DFT PBE
# Formation energy from the elements = -0.58 eV per atom
# Energy relative to the lowest polymorph listed for this composition = 0.000 eV per atom
data_SmPd3Pt2
_chemical_formula_sum 'Sm1 Pd3 Pt2'
_cell_length_a 5.3689
_cell_length_b 5.3689
_cell_length_c 4.4551
_cell_angle_alpha 90.00
_cell_angle_beta 90.00
_cell_angle_gamma 120.00
_space_group_name_H-M_alt 'P 6/m m m'
_space_group_IT_number 191
_space_group_name_Hall '-P 6 2'
loop_
_atom_site_label
_atom_site_fract_x
_atom_site_fract_y
_atom_site_fract_z
Sm1 0.0000 0.0000 0.0000
Pd1 0.0000 0.5000 0.5000
Pt1 0.3333 0.6667 0.0000

***

7.
# LaErFe, relaxed, DFT PBE
# Formation energy from the elements = 0.04 eV per atom
# Energy relative to the lowest polymorph listed for this composition = 0.000 eV per atom
data_LaErFe
_chemical_formula_sum 'La8 Er8 Fe8'
_cell_length_a 7.056
_cell_length_b 12.253
_cell_length_c 7.281
_cell_angle_alpha 90.00
_cell_angle_beta 90.00
_cell_angle_gamma 90.00
_space_group_name_H-M_alt 'C m c e'
_space_group_IT_number 64
_space_group_name_Hall '-C 2ac 2'
loop_
_atom_site_label
_atom_site_fract_x
_atom_site_fract_y
_atom_site_fract_z
La1 0.000 0.199 0.116
Er1 0.250 0.038 0.750
Fe1 0.000 0.090 0.459

***

8.
# Pt2W, relaxed, DFT PBE
# Formation energy from the elements = -0.22 eV per atom
# Energy relative to the lowest polymorph listed for this composition = 0.136 eV per atom
data_Pt2W
_chemical_formula_sum 'Pt6 W3'
_cell_length_a 7.6751
_cell_length_b 7.6751
_cell_length_c 2.7813
_cell_angle_alpha 90.00
_cell_angle_beta 90.00
_cell_angle_gamma 120.00
_space_group_name_H-M_alt 'P -6 2 m'
_space_group_IT_number 189
_space_group_name_Hall 'P -6 -2'
loop_
_atom_site_label
_atom_site_fract_x
_atom_site_fract_y
_atom_site_fract_z
Pt1 0.0000 0.3028 0.0000
Pt2 0.0000 0.6371 0.5000
W1 0.0000 0.0000 0.5000
W2 0.3333 0.6667 0.0000

***

9.
# BePtSe, relaxed, DFT PBE
# Formation energy (no corrections) = -278 meV per atom
data_BePtSe
_chemical_formula_sum 'Be2 Pt2 Se2'
_cell_length_a 2.768
_cell_length_b 2.768
_cell_length_c 13.106
_cell_angle_alpha 90.00
_cell_angle_beta 90.00
_cell_angle_gamma 90.00
_space_group_name_H-M_alt 'I 4 m m'
_space_group_IT_number 107
_space_group_name_Hall 'I 4 -2'
loop_
_atom_site_label
_atom_site_fract_x
_atom_site_fract_y
_atom_site_fract_z
Be1 0.000 0.000 0.000
Pt1 0.000 0.000 0.406
Se1 0.000 0.000 0.173

***

10.
# MnHIr3, relaxed, DFT PBE
# Energy relative to the lowest polymorph listed for this composition = 1.963 eV per atom
data_MnHIr3
_chemical_formula_sum 'Mn1 H1 Ir3'
_cell_length_a 4.453
_cell_length_b 4.453
_cell_length_c 4.453
_cell_angle_alpha 90.00
_cell_angle_beta 90.00
_cell_angle_gamma 90.00
_space_group_name_H-M_alt 'P m -3 m'
_space_group_IT_number 221
_space_group_name_Hall '-P 4 2 3'
loop_
_atom_site_label
_atom_site_fract_x
_atom_site_fract_y
_atom_site_fract_z
Mn1 0.000 0.000 0.000
H1 0.500 0.500 0.500
Ir1 0.000 0.000 0.500

***

11.
# TaMn2Tc, relaxed, DFT PBE
# Formation energy from the elements = 0.12 eV per atom
# Energy relative to the lowest polymorph listed for this composition = 0.187 eV per atom
data_TaMn2Tc
_chemical_formula_sum 'Ta2 Mn4 Tc2'
_cell_length_a 3.286
_cell_length_b 4.286
_cell_length_c 8.017
_cell_angle_alpha 90.00
_cell_angle_beta 90.00
_cell_angle_gamma 90.00
_space_group_name_H-M_alt 'C m m m'
_space_group_IT_number 65
_space_group_name_Hall '-C 2 2'
loop_
_atom_site_label
_atom_site_fract_x
_atom_site_fract_y
_atom_site_fract_z
Ta1 0.000 0.000 0.000
Mn1 0.000 0.500 0.261
Tc1 0.000 0.000 0.500

***

12.
# AlCu4Au7, relaxed, DFT PBE
# Formation energy from the elements = 0.05 eV per atom
data_AlCu4Au7
_chemical_formula_sum 'Al2 Cu8 Au14'
_cell_length_a 11.521
_cell_length_b 4.774
_cell_length_c 9.303
_cell_angle_alpha 90.00
_cell_angle_beta 124.55
_cell_angle_gamma 90.00
_space_group_name_H-M_alt 'C 1 2/m 1'
_space_group_IT_number 12
loop_
_space_group_symop_operation_xyz
'x,y,z'
'-x,-y,-z'
'-x,y,-z'
'x,-y,z'
'x+1/2,y+1/2,z'
'-x+1/2,-y+1/2,-z'
'-x+1/2,y+1/2,-z'
'x+1/2,-y+1/2,z'
loop_
_atom_site_label
_atom_site_fract_x
_atom_site_fract_y
_atom_site_fract_z
Al1 0.000 0.000 0.000
Cu1 0.068 0.500 0.776
Cu2 0.213 0.500 0.337
Au1 0.000 0.500 0.000
Au2 0.078 0.000 0.322
Au3 0.142 0.500 0.563
Au4 0.213 0.000 0.886

***

13.
# Tc2HgBr, relaxed, DFT PBE
# Formation energy (no corrections) = 979 meV per atom
# Energy relative to the lowest polymorph listed for this composition = 0.735 eV per atom
data_Tc2HgBr
_chemical_formula_sum 'Tc4 Hg2 Br2'
_cell_length_a 2.945
_cell_length_b 5.325
_cell_length_c 9.285
_cell_angle_alpha 90.00
_cell_angle_beta 90.00
_cell_angle_gamma 90.00
_space_group_name_H-M_alt 'C m m m'
_space_group_IT_number 65
_space_group_name_Hall '-C 2 2'
loop_
_atom_site_label
_atom_site_fract_x
_atom_site_fract_y
_atom_site_fract_z
Tc1 0.000 0.000 0.238
Hg1 0.000 0.500 0.500
Br1 0.000 0.500 0.000

***

Number 1: D(E_F) 0.50 states/eV per atom, calculated total energy -3.5152 eV per atom. Number 2: D(E_F) 0.55 states/eV per atom, calculated total energy -1.6961 eV per atom. Number 3: D(E_F) 1.19 states/eV per atom, calculated total energy -4.8522 eV per atom. Number 4: D(E_F) 0.84 states/eV per atom, calculated total energy -8.0032 eV per atom. Number 5: D(E_F) 0.49 states/eV per atom, calculated total energy -3.7299 eV per atom. Number 6: D(E_F) 0.84 states/eV per atom, calculated total energy -5.9808 eV per atom. Number 7: D(E_F) 1.34 states/eV per atom, calculated total energy -5.9441 eV per atom. Number 8: D(E_F) 0.78 states/eV per atom, calculated total energy -8.5600 eV per atom. Number 9: D(E_F) 0.51 states/eV per atom, calculated total energy -4.6954 eV per atom. Number 10: D(E_F) 1.33 states/eV per atom, calculated total energy -5.8377 eV per atom. Number 11: D(E_F) 0.96 states/eV per atom, calculated total energy -10.0165 eV per atom. Number 12: D(E_F) 0.28 states/eV per atom, calculated total energy -3.5399 eV per atom. Number 13: D(E_F) 0.91 states/eV per atom, calculated total energy -4.6977 eV per atom.